La4GePtBr2, optimized geometry, DFT PBE-GGA; energy = -43.685 eV/f.u.; ΔE_f (raw) = -1.25 eV/atom; volume = 30.7 A^3/atom; M_tot = 0.000 Bohr magnetons per cell
1.0
7.754 0.000 0.000
0.000 4.266 0.000
-2.435 0.000 7.425
La Ge Pt Br
4 1 1 2
Cartesian
1.055 0.000 1.671
-0.068 2.133 5.494
5.386 2.133 1.931
4.263 0.000 5.754
-1.217 0.000 3.713
0.000 2.133 0.000
3.877 0.000 0.000
2.659 2.133 3.713


Rb2LaGeBr6, optimized geometry, DFT PBE-GGA; energy = -35.225 eV/f.u.; ΔE_f (raw) = -1.37 eV/atom; volume = 41.5 A^3/atom; M_tot = 1.024 Bohr magnetons per cell
1.0
-4.259 4.259 5.713
4.259 -4.259 5.713
4.259 4.259 -5.713
Rb La Ge Br
2 1 1 6
Cartesian
4.259 0.000 2.856
0.000 4.259 2.856
0.000 0.000 0.000
0.000 0.000 5.713
2.075 2.075 0.000
2.184 -2.184 5.713
0.000 0.000 2.934
0.000 0.000 8.491
-2.184 2.184 5.713
2.184 2.184 5.713


RbLaGe2Br8, optimized geometry, DFT PBE-GGA; energy = -42.994 eV/f.u.; ΔE_f (raw) = -1.21 eV/atom; volume = 41.1 A^3/atom; M_tot = 0.000 Bohr magnetons per cell
1.0
6.776 0.000 0.000
0.643 7.344 0.000
0.104 0.555 9.909
Rb La Ge Br
1 1 2 8
Cartesian
0.000 0.000 0.000
0.052 0.278 4.955
3.378 3.487 2.710
4.146 4.413 7.199
2.126 6.151 2.879
1.908 2.653 4.684
2.024 2.775 0.796
2.469 6.692 7.133
5.054 1.207 2.776
5.499 5.125 9.113
5.615 5.246 5.225
5.398 1.748 7.030